Entry 1:
First-principles (PBE) data for a geometry-optimized Y3Mg3Cd structure, as listed in Alexandria via LeMat-Bulk.

Results
density of states at the Fermi level: 13.35 states/eV/cell
VASP energy: -3.61 eV per atom
total moment: 1.02 μB/cell

a b c (Å): 7.5389 7.5389 6.9775
angles (deg): 90.02 90.02 88.60
Site moments in Bohr magnetons follow the coordinates.
Fractional coordinates of all 14 atoms:
Y1 0.0001 0.0001 0.7498  0.21
Y2 0.9999 0.9999 0.2502  0.21
Y3 0.9995 0.5005 0.7539  0.04
Y4 0.0005 0.4995 0.2461  0.04
Y5 0.4995 0.0005 0.2461  0.04
Y6 0.5005 0.9995 0.7539  0.04
Mg1 0.2819 0.2819 0.5014  0.00
Mg2 0.7181 0.7181 0.4986  0.00
Mg3 0.6701 0.3299 0.0000  0.00
Mg4 0.2913 0.7087 0.5000  0.00
Mg5 0.7087 0.2913 0.5000  0.00
Mg6 0.3299 0.6701 0.0000  0.00
Cd1 0.7356 0.7356 0.0008  0.00
Cd2 0.2644 0.2644 0.9992  0.00


Entry 2:
First-principles (PBE) data for a geometry-optimized YMgCd5 structure, as listed in Alexandria via LeMat-Bulk.

Results
density of states at the Fermi level: 3.78 states/eV/cell
VASP energy: -1.88 eV per atom
total moment: 0.00 μB/cell

a b c (Å): 4.4883 4.4884 8.7992
angles (deg): 90.00 90.00 90.00
Fractional coordinates of all 7 atoms:
Cd1 0.5000 0.5000 0.5000
Cd2 0.5000 0.0000 0.7714
Cd3 0.0000 0.5000 0.2286
Cd4 0.0000 0.5000 0.7714
Cd5 0.5000 0.0000 0.2286
Mg1 0.5000 0.5000 0.0000
Y1 0.0000 0.0000 0.5000


Entry 3:
First-principles (PBE) data for a geometry-optimized YMg4Cd2 structure, as listed in Alexandria via LeMat-Bulk.

Results
density of states at the Fermi level: 3.14 states/eV/cell
VASP energy: -1.98 eV per atom
total moment: 0.00 μB/cell
excess energy over the best structure of this formula in the dataset: 239 meV/atom

a b c (Å): 6.0913 6.0913 7.6578
angles (deg): 127.20 127.20 58.65
Fractional coordinates of all 7 atoms:
Cd1 0.6537 0.6537 0.3075
Cd2 0.3463 0.3463 0.6925
Mg1 0.5000 0.0000 0.0000
Mg2 0.7500 0.2500 0.5000
Mg3 0.2500 0.7500 0.5000
Mg4 0.0000 0.5000 0.0000
Y1 0.0000 0.0000 0.0000


Entry 4:
First-principles (PBE) data for a geometry-optimized Y5Mg3Cd12 structure, as listed in Alexandria via LeMat-Bulk.

Results
density of states at the Fermi level: 68.03 states/eV/cell
VASP energy: -2.11 eV per atom
total moment: 0.00 μB/cell

a b c (Å): 14.9301 14.9301 14.9301
angles (deg): 109.47 109.47 109.47
Fractional coordinates of all 80 atoms:
Cd1 0.6484 0.5680 0.9106
Cd2 0.8516 0.5894 0.9320
Cd3 0.4320 0.0804 0.3426
Cd4 0.6574 0.2378 0.5894
Cd5 0.2622 0.4106 0.8426
Cd6 0.0894 0.9320 0.3516
Cd7 0.1484 0.7378 0.5804
Cd8 0.3516 0.9196 0.7622
Cd9 0.7378 0.1484 0.0804
Cd10 0.4196 0.6574 0.0680
Cd11 0.8426 0.9106 0.2622
Cd12 0.8516 0.2622 0.4196
Cd13 0.0680 0.1574 0.4196
Cd14 0.2378 0.6574 0.0894
Cd15 0.9106 0.8426 0.7622
Cd16 0.1484 0.4106 0.0680
Cd17 0.2622 0.8516 0.9196
Cd18 0.0804 0.4320 0.8426
Cd19 0.4196 0.7622 0.8516
Cd20 0.6484 0.0804 0.2378
Cd21 0.7622 0.3426 0.9106
Cd22 0.7378 0.5894 0.1574
Cd23 0.5680 0.9196 0.6574
Cd24 0.6574 0.4196 0.5680
Cd25 0.5804 0.3426 0.9320
Cd26 0.1574 0.0680 0.9196
Cd27 0.9320 0.8426 0.5804
Cd28 0.4320 0.3516 0.5894
Cd29 0.0894 0.1574 0.2378
Cd30 0.7622 0.4196 0.3516
Cd31 0.9196 0.3516 0.2622
Cd32 0.0680 0.9106 0.1484
Cd33 0.5894 0.8516 0.4320
Cd34 0.3426 0.7622 0.4106
Cd35 0.5804 0.2378 0.1484
Cd36 0.0804 0.6484 0.7378
Cd37 0.4106 0.1484 0.5680
Cd38 0.2378 0.5804 0.6484
Cd39 0.9320 0.0894 0.8516
Cd40 0.1574 0.0894 0.7378
Cd41 0.8426 0.9320 0.0804
Cd42 0.5680 0.6484 0.4106
Cd43 0.3426 0.5804 0.4320
Cd44 0.5894 0.7378 0.6574
Cd45 0.4106 0.2622 0.3426
Cd46 0.9196 0.5680 0.1574
Cd47 0.3516 0.4320 0.0894
Cd48 0.9106 0.0680 0.6484
Y1 0.2500 0.8750 0.1250
Y2 0.0000 0.0000 0.0000
Y3 0.7500 0.1250 0.8750
Y4 0.3750 0.1250 0.7500
Y5 0.5000 0.5000 0.0000
Y6 0.3750 0.2500 0.1250
Y7 0.2500 0.3750 0.6250
Y8 0.5000 0.5000 0.5000
Y9 0.6250 0.7500 0.8750
Y10 0.8750 0.2500 0.6250
Y11 0.1250 0.3750 0.2500
Y12 0.6250 0.8750 0.2500
Y13 0.8750 0.6250 0.7500
Y14 0.0000 0.0000 0.5000
Y15 0.7500 0.6250 0.3750
Y16 0.1250 0.7500 0.3750
Y17 0.0000 0.5000 0.0000
Y18 0.0000 0.5000 0.5000
Y19 0.5000 0.0000 0.0000
Y20 0.5000 0.0000 0.5000
Mg1 0.7500 0.3750 0.1250
Mg2 0.2500 0.6250 0.8750
Mg3 0.8750 0.7500 0.1250
Mg4 0.3750 0.7500 0.6250
Mg5 0.2500 0.1250 0.3750
Mg6 0.6250 0.3750 0.7500
Mg7 0.6250 0.2500 0.3750
Mg8 0.3750 0.6250 0.2500
Mg9 0.8750 0.1250 0.2500
Mg10 0.1250 0.8750 0.7500
Mg11 0.7500 0.8750 0.6250
Mg12 0.1250 0.2500 0.8750


Entry 5:
First-principles (PBE) data for a geometry-optimized Y2Mg2Cd structure, as listed in Alexandria via LeMat-Bulk.

Results
density of states at the Fermi level: 5.94 states/eV/cell
VASP energy: -3.52 eV per atom
total moment: 0.47 μB/cell
excess energy over the best structure of this formula in the dataset: 13 meV/atom

a b c (Å): 3.4331 4.9619 8.0970
angles (deg): 72.16 90.00 90.00
Site moments in Bohr magnetons follow the coordinates.
Fractional coordinates of all 5 atoms:
Y1 0.5000 0.6089 0.7821  0.11
Y2 0.5000 0.3911 0.2179  0.11
Mg1 0.0000 0.8000 0.4001  0.00
Mg2 0.0000 0.2000 0.5999  0.00
Cd1 0.0000 0.0000 0.0000  0.01


Entry 6:
First-principles (PBE) data for a geometry-optimized Y2Mg2Cd structure, as listed in Alexandria via LeMat-Bulk.

Results
density of states at the Fermi level: 13.58 states/eV/cell
VASP energy: -3.27 eV per atom
total moment: 2.03 μB/cell
excess energy over the best structure of this formula in the dataset: 264 meV/atom

a b c (Å): 8.5770 8.5770 3.9379
angles (deg): 90.00 90.00 90.00
Site moments in Bohr magnetons follow the coordinates.
Fractional coordinates of all 10 atoms:
Cd1 0.5000 0.5000 0.0000  0.01
Cd2 0.0000 0.0000 0.0000  0.01
Mg1 0.1525 0.6525 0.5000  0.01
Mg2 0.8475 0.3475 0.5000  0.01
Mg3 0.3475 0.1525 0.5000  0.01
Mg4 0.6525 0.8475 0.5000  0.01
Y1 0.6453 0.1453 0.0000  0.20
Y2 0.3547 0.8547 0.0000  0.20
Y3 0.8547 0.6453 0.0000  0.19
Y4 0.1453 0.3547 0.0000  0.19


Entry 7:
First-principles (PBE) data for a geometry-optimized YMgCd14 structure, as listed in Alexandria via LeMat-Bulk.

Results
density of states at the Fermi level: 4.58 states/eV/cell
VASP energy: -1.38 eV per atom
total moment: 0.00 μB/cell

a b c (Å): 6.5238 6.5238 8.6030
angles (deg): 90.00 90.00 90.00
Fractional coordinates of all 16 atoms:
Y1 0.8750 0.8750 0.5000
Cd1 0.3750 0.3750 0.0000
Cd2 0.8750 0.8750 0.0000
Cd3 0.1283 0.6217 0.7540
Cd4 0.3750 0.8750 0.0000
Cd5 0.6217 0.6217 0.2459
Cd6 0.6217 0.1283 0.7540
Cd7 0.1284 0.1284 0.7540
Cd8 0.8750 0.3750 0.0000
Cd9 0.1283 0.6217 0.2460
Cd10 0.6217 0.6217 0.7541
Cd11 0.1284 0.1284 0.2460
Cd12 0.8750 0.3750 0.5000
Cd13 0.6217 0.1283 0.2460
Cd14 0.3750 0.8750 0.5000
Mg1 0.3750 0.3750 0.5000


Entry 8:
First-principles (PBE) data for a geometry-optimized Y4Mg3Cd2 structure, as listed in Alexandria via LeMat-Bulk.

Results
density of states at the Fermi level: 7.88 states/eV/cell
VASP energy: -3.79 eV per atom
total moment: 0.00 μB/cell

a b c (Å): 5.2890 5.2881 9.9202
angles (deg): 90.02 90.00 59.99
Fractional coordinates of all 9 atoms:
Cd1 0.3332 0.3335 0.7996
Cd2 0.6667 0.6665 0.2004
Y1 0.3334 0.3332 0.1174
Y2 0.0001 0.9998 0.3266
Y3 0.6666 0.6668 0.8826
Y4 0.9999 0.0002 0.6734
Mg1 0.6667 0.6666 0.5132
Mg2 0.0000 0.0000 0.0000
Mg3 0.3333 0.3334 0.4868


Entry 9:
First-principles (PBE) data for a geometry-optimized Y5Mg4Cd structure, as listed in Alexandria via LeMat-Bulk.

Results
density of states at the Fermi level: 14.37 states/eV/cell
VASP energy: -4.12 eV per atom
total moment: 0.00 μB/cell

a b c (Å): 3.8027 3.8027 18.8403
angles (deg): 90.00 90.00 90.00
Fractional coordinates of all 10 atoms:
Cd1 0.0000 0.0000 0.0000
Y1 0.5000 0.5000 0.0980
Y2 0.5000 0.5000 0.7014
Y3 0.5000 0.5000 0.2986
Y4 0.5000 0.5000 0.5000
Y5 0.5000 0.5000 0.9020
Mg1 0.0000 0.0000 0.1994
Mg2 0.0000 0.0000 0.3993
Mg3 0.0000 0.0000 0.6007
Mg4 0.0000 0.0000 0.8006


Entry 10:
First-principles (PBE) data for a geometry-optimized YMgCd4 structure, as listed in Alexandria via LeMat-Bulk.

Results
density of states at the Fermi level: 3.30 states/eV/cell
VASP energy: -2.19 eV per atom
total moment: 0.00 μB/cell
excess energy over the best structure of this formula in the dataset: 0 meV/atom

a b c (Å): 4.9155 4.9155 6.7221
angles (deg): 90.00 90.00 120.00
Fractional coordinates of all 6 atoms:
Cd1 0.3333 0.6667 0.2482
Cd2 0.6667 0.3333 0.2482
Cd3 0.6667 0.3333 0.7518
Cd4 0.3333 0.6667 0.7518
Y1 0.0000 0.0000 0.5000
Mg1 0.0000 0.0000 0.0000


Entry 11:
First-principles (PBE) data for a geometry-optimized Y3Mg3Cd2 structure, as listed in Alexandria via LeMat-Bulk.

Results
density of states at the Fermi level: 5.52 states/eV/cell
VASP energy: -3.46 eV per atom
total moment: 0.20 μB/cell

a b c (Å): 5.1464 5.1473 7.7195
angles (deg): 90.00 90.00 90.00
Site moments in Bohr magnetons follow the coordinates.
Fractional coordinates of all 8 atoms:
Mg1 0.5000 0.5000 0.2364  0.00
Mg2 0.5000 0.0000 0.0000  0.00
Mg3 0.5000 0.5000 0.7636  0.00
Y1 0.0000 0.5000 0.0000  -0.01
Y2 0.0000 0.5000 0.5000  0.06
Y3 0.5000 0.0000 0.5000  0.07
Cd1 0.0000 0.0000 0.7593  0.00
Cd2 0.0000 0.0000 0.2407  0.00


Entry 12:
First-principles (PBE) data for a geometry-optimized YMg2Cd10 structure, as listed in Alexandria via LeMat-Bulk.

Results
density of states at the Fermi level: 3.02 states/eV/cell
VASP energy: -1.57 eV per atom
total moment: 0.00 μB/cell

a b c (Å): 6.0443 7.6174 7.5754
angles (deg): 80.89 66.49 66.63
Fractional coordinates of all 13 atoms:
Cd1 0.5000 0.0000 0.5000
Cd2 0.4980 0.2168 0.7872
Cd3 0.5020 0.7832 0.2128
Cd4 0.9967 0.3501 0.6564
Cd5 0.0033 0.6499 0.3436
Cd6 0.7148 0.7832 0.7872
Cd7 0.6532 0.3501 0.3436
Cd8 0.0000 0.0000 0.5000
Cd9 0.3468 0.6499 0.6564
Cd10 0.2852 0.2168 0.2128
Mg1 0.0000 0.5000 0.0000
Mg2 0.5000 0.5000 0.0000
Y1 0.0000 0.0000 0.0000